Here is a PBEsol-optimized structure of Al2Os2S from the Alexandria database. Energies are from SCAN.

abc: 6.855 6.855 6.855
angles: 151.16 151.16 41.24
Fractional positions:
Al 0.250 0.750 0.500
Al 0.750 0.250 0.500
Os 0.105 0.105 0.000
Os 0.895 0.895 0.000
S 0.500 0.500 0.000

Properties
Calculated density = 10.4 g/cm³
E_form (uncorrected) = 0.43 eV per atom
Raw total energy = -33.35 eV/atom
Symmetry = No. 139



Here is a PBEsol-optimized structure of Ag8Pb from the Alexandria database. Energies are from SCAN.

abc: 6.512 6.512 6.512
angles: 95.89 95.89 142.63
Fractional positions:
Ag 0.000 0.339 0.339
Ag 0.000 0.661 0.661
Ag 0.327 0.327 0.655
Ag 0.327 0.673 0.000
Ag 0.339 0.000 0.339
Ag 0.661 0.000 0.661
Ag 0.673 0.327 0.000
Ag 0.673 0.673 0.345
Pb 0.000 0.000 0.000

Properties
Calculated density = 11.2 g/cm³
Raw total energy = -36.25 eV/atom
Symmetry = No. 139
ΔE_f = 0.053 eV/atom